# Mn2CrHgF, optimized geometry, DFT GGA+U
data_Mn2CrHgF
_chemical_formula_sum 'Mn2 Cr1 Hg1 F1'
_symmetry_space_group_name_H-M 'P 4/m m m'
_symmetry_Int_Tables_number 123
_symmetry_space_group_name_Hall '-P 4 2'
_cell_length_a 4.548
_cell_length_b 4.548
_cell_length_c 4.473
_cell_angle_alpha 90.00
_cell_angle_beta 90.00
_cell_angle_gamma 90.00
loop_
_atom_site_label
_atom_site_type_symbol
_atom_site_fract_x
_atom_site_fract_y
_atom_site_fract_z
_atom_site_occupancy
Mn1 Mn 0.000 0.500 0.000 1
Cr1 Cr 0.000 0.000 0.500 1
Hg1 Hg 0.500 0.500 0.500 1
F1 F 0.000 0.000 0.000 1
# - total DFT energy (no corrections) (hartree per atom) = -0.1863